Record 1
# BiP2WO

A geometry-optimized BiP2WO structure (GGA+U, Alexandria).

Results
* space-group type: No. 123
* M_tot: 2.8 μB per formula unit
* final energy: -21.68 eV per cell
* distance to the lowest polymorph of the same formula: 1232.3 meV/atom

a = 5.2342 Å, b = 5.2342 Å, c = 4.1133 Å
α = 90.00°, β = 90.00°, γ = 90.00°
Each line ends with the local moment (μB).
Atoms (fractional coordinates):
W (0.5000, 0.5000, 0.5000)  3.27
Bi (0.0000, 0.0000, 0.0000)  0.03
P (0.5000, 0.0000, 0.0000)  -0.26
P (0.0000, 0.5000, 0.0000)  -0.26
O (0.0000, 0.0000, 0.5000)  -0.01


Record 2
# BiP2WO

A geometry-optimized BiP2WO structure (GGA+U, Alexandria).

Results
* space-group type: No. 123
* M_tot: 0.9 μB per formula unit
* final energy: -27.84 eV per cell
* distance to the lowest polymorph of the same formula: 0.0 meV/atom

a = 5.0226 Å, b = 5.0226 Å, c = 3.8365 Å
α = 90.00°, β = 90.00°, γ = 90.00°
Each line ends with the local moment (μB).
Atoms (fractional coordinates):
P (0.5000, 0.0000, 0.0000)  -0.06
P (0.0000, 0.5000, 0.0000)  -0.06
Bi (0.5000, 0.5000, 0.5000)  0.08
O (0.0000, 0.0000, 0.5000)  -0.07
W (0.0000, 0.0000, 0.0000)  1.00


Record 3
# BiPWO2

A geometry-optimized BiPWO2 structure (GGA+U, Alexandria).

Results
* space-group type: No. 123
* M_tot: 3.3 μB per formula unit
* final energy: -24.95 eV per cell
* distance to the lowest polymorph of the same formula: 1039.2 meV/atom

a = 4.1896 Å, b = 4.1896 Å, c = 5.4236 Å
α = 90.00°, β = 90.00°, γ = 90.00°
Each line ends with the local moment (μB).
Atoms (fractional coordinates):
O (0.0000, 0.5000, 0.0000)  0.01
O (0.5000, 0.0000, 0.0000)  0.01
Bi (0.0000, 0.0000, 0.0000)  0.03
P (0.0000, 0.0000, 0.5000)  -0.12
W (0.5000, 0.5000, 0.5000)  3.08


Record 4
# BiPWO2

A geometry-optimized BiPWO2 structure (GGA+U, Alexandria).

Results
* space-group type: No. 123
* M_tot: 2.0 μB per formula unit
* final energy: -30.15 eV per cell
* distance to the lowest polymorph of the same formula: 0.0 meV/atom

a = 4.0340 Å, b = 4.0340 Å, c = 5.2568 Å
α = 90.00°, β = 90.00°, γ = 90.00°
Each line ends with the local moment (μB).
Atoms (fractional coordinates):
O (0.0000, 0.5000, 0.0000)  0.01
O (0.5000, 0.0000, 0.0000)  0.01
W (0.0000, 0.0000, 0.0000)  1.60
P (0.0000, 0.0000, 0.5000)  -0.05
Bi (0.5000, 0.5000, 0.5000)  0.27